(1)
CaMg2NiPb | PBE | relaxed

Computed properties:
The value obtained for the energy relative to the elements is -0.62 eV/f.u. The crystal system is tetragonal. Its total magnetization is 0.000 Bohr magnetons per cell. For the total energy, the calculation gives -3.06 eV/atom.

Cell and atoms, written as CIF:
```
data_CaMg2NiPb
_chemical_formula_sum 'Ca1 Mg2 Ni1 Pb1'
_symmetry_space_group_name_H-M 'P 1'
_symmetry_Int_Tables_number 1
_symmetry_space_group_name_Hall 'P 1'
_cell_length_a 4.931
_cell_length_b 4.931
_cell_length_c 5.036
_cell_angle_alpha 90.00
_cell_angle_beta 90.00
_cell_angle_gamma 90.00
loop_
_atom_site_label
_atom_site_type_symbol
_atom_site_fract_x
_atom_site_fract_y
_atom_site_fract_z
Ca1 Ca 0.000 0.000 0.000
Mg1 Mg 0.000 0.500 0.500
Mg2 Mg 0.500 0.000 0.500
Ni1 Ni 0.500 0.500 0.500
Pb1 Pb 0.500 0.500 0.000
```

(2)
Zr2CuAs | PBE | relaxed

Computed properties:
The value obtained for the energy relative to the elements is 0.78 eV/f.u. The crystal system is cubic. Its total magnetization is 0.619 Bohr magnetons per cell. For the total energy, the calculation gives -6.27 eV/atom.

Cell and atoms, written as CIF:
```
data_Zr2CuAs
_chemical_formula_sum 'Zr2 Cu1 As1'
_symmetry_space_group_name_H-M 'P 1'
_symmetry_Int_Tables_number 1
_symmetry_space_group_name_Hall 'P 1'
_cell_length_a 4.727
_cell_length_b 4.727
_cell_length_c 4.727
_cell_angle_alpha 60.00
_cell_angle_beta 60.00
_cell_angle_gamma 60.00
loop_
_atom_site_label
_atom_site_type_symbol
_atom_site_fract_x
_atom_site_fract_y
_atom_site_fract_z
Zr1 Zr 0.000 0.000 0.000
Zr2 Zr 0.250 0.250 0.250
Cu1 Cu 0.750 0.750 0.750
As1 As 0.500 0.500 0.500
```

(3)
Pm2Si2HIr2 | PBE | relaxed

Computed properties:
The crystal system is monoclinic. Its total magnetization is 0.000 Bohr magnetons per cell. For the total energy, the calculation gives -6.76 eV/atom.

Cell and atoms, written as CIF:
```
data_Pm2Si2HIr2
_chemical_formula_sum 'Pm2 Si2 H1 Ir2'
_symmetry_space_group_name_H-M 'P 1'
_symmetry_Int_Tables_number 1
_symmetry_space_group_name_Hall 'P 1'
_cell_length_a 5.760
_cell_length_b 5.760
_cell_length_c 6.990
_cell_angle_alpha 126.72
_cell_angle_beta 126.72
_cell_angle_gamma 42.67
loop_
_atom_site_label
_atom_site_type_symbol
_atom_site_fract_x
_atom_site_fract_y
_atom_site_fract_z
Pm1 Pm 0.065 0.065 0.295
Pm2 Pm 0.935 0.935 0.705
Si1 Si 0.350 0.350 0.294
Si2 Si 0.650 0.650 0.706
H1 H 0.500 0.500 0.000
Ir1 Ir 0.285 0.285 0.885
Ir2 Ir 0.715 0.715 0.115
```

(4)
ReRhO6 | PBE | relaxed

Computed properties:
The crystal system is monoclinic. Its total magnetization is 0.000 Bohr magnetons per cell. For the total energy, the calculation gives -7.01 eV/atom.

Cell and atoms, written as CIF:
```
data_ReRhO6
_chemical_formula_sum 'Re1 Rh1 O6'
_symmetry_space_group_name_H-M 'P 1'
_symmetry_Int_Tables_number 1
_symmetry_space_group_name_Hall 'P 1'
_cell_length_a 5.362
_cell_length_b 5.362
_cell_length_c 4.810
_cell_angle_alpha 96.00
_cell_angle_beta 96.00
_cell_angle_gamma 126.70
loop_
_atom_site_label
_atom_site_type_symbol
_atom_site_fract_x
_atom_site_fract_y
_atom_site_fract_z
Re1 Re 0.000 0.000 0.000
Rh1 Rh 0.500 0.500 0.500
O1 O 0.105 0.369 0.238
O2 O 0.249 0.249 0.751
O3 O 0.369 0.105 0.238
O4 O 0.631 0.895 0.762
O5 O 0.751 0.751 0.249
O6 O 0.895 0.631 0.762
```

(5)
MnHgP2Cl | PBE | relaxed

Computed properties:
For the energy above the most stable polymorph in this dataset, the calculation gives 0.000 eV/atom. The crystal system is tetragonal. Its total magnetization is 0.000 Bohr magnetons per cell. For the total energy, the calculation gives -4.19 eV/atom.

Cell and atoms, written as CIF:
```
data_MnHgP2Cl
_chemical_formula_sum 'Mn1 Hg1 P2 Cl1'
_symmetry_space_group_name_H-M 'P 1'
_symmetry_Int_Tables_number 1
_symmetry_space_group_name_Hall 'P 1'
_cell_length_a 4.346
_cell_length_b 4.346
_cell_length_c 5.152
_cell_angle_alpha 90.00
_cell_angle_beta 90.00
_cell_angle_gamma 90.00
loop_
_atom_site_label
_atom_site_type_symbol
_atom_site_fract_x
_atom_site_fract_y
_atom_site_fract_z
Mn1 Mn 0.000 0.000 0.000
Hg1 Hg 0.500 0.500 0.500
P1 P 0.000 0.500 0.000
P2 P 0.500 0.000 0.000
Cl1 Cl 0.000 0.000 0.500
```

(6)
ZrTcTe4 | PBE | relaxed

Computed properties:
The crystal system is cubic. Its total magnetization is 2.392 Bohr magnetons per cell. For the total energy, the calculation gives -4.19 eV/atom.

Cell and atoms, written as CIF:
```
data_ZrTcTe4
_chemical_formula_sum 'Zr1 Tc1 Te4'
_symmetry_space_group_name_H-M 'P 1'
_symmetry_Int_Tables_number 1
_symmetry_space_group_name_Hall 'P 1'
_cell_length_a 6.132
_cell_length_b 6.132
_cell_length_c 6.132
_cell_angle_alpha 60.00
_cell_angle_beta 60.00
_cell_angle_gamma 60.00
loop_
_atom_site_label
_atom_site_type_symbol
_atom_site_fract_x
_atom_site_fract_y
_atom_site_fract_z
Zr1 Zr 0.000 0.000 0.000
Tc1 Tc 0.750 0.750 0.750
Te1 Te 0.375 0.375 0.375
Te2 Te 0.375 0.375 0.875
Te3 Te 0.375 0.875 0.375
Te4 Te 0.875 0.375 0.375
```

(7)
AlAgSn | PBE | relaxed

Computed properties:
The value obtained for the energy relative to the elements is 0.21 eV/f.u. The crystal system is triclinic. Its total magnetization is 0.000 Bohr magnetons per cell. For the total energy, the calculation gives -3.46 eV/atom.

Cell and atoms, written as CIF:
```
data_AlAgSn
_chemical_formula_sum 'Al2 Ag2 Sn2'
_symmetry_space_group_name_H-M 'P 1'
_symmetry_Int_Tables_number 1
_symmetry_space_group_name_Hall 'P 1'
_cell_length_a 4.419
_cell_length_b 4.683
_cell_length_c 6.837
_cell_angle_alpha 74.96
_cell_angle_beta 83.26
_cell_angle_gamma 72.51
loop_
_atom_site_label
_atom_site_type_symbol
_atom_site_fract_x
_atom_site_fract_y
_atom_site_fract_z
Al1 Al 0.000 0.000 0.000
Al2 Al 0.448 0.045 0.270
Ag1 Ag 0.321 0.450 0.896
Ag2 Ag 0.773 0.479 0.177
Sn1 Sn 0.161 0.573 0.457
Sn2 Sn 0.609 0.928 0.714
```

(8)
Li2ThMg9 | PBE | relaxed

Computed properties:
The value obtained for the energy relative to the elements is -0.11 eV/f.u. The crystal system is hexagonal. Its total magnetization is 0.000 Bohr magnetons per cell. For the total energy, the calculation gives -2.14 eV/atom.

Cell and atoms, written as CIF:
```
data_Li2ThMg9
_chemical_formula_sum 'Li2 Th1 Mg9'
_symmetry_space_group_name_H-M 'P 1'
_symmetry_Int_Tables_number 1
_symmetry_space_group_name_Hall 'P 1'
_cell_length_a 9.945
_cell_length_b 9.945
_cell_length_c 3.253
_cell_angle_alpha 90.00
_cell_angle_beta 90.00
_cell_angle_gamma 120.00
loop_
_atom_site_label
_atom_site_type_symbol
_atom_site_fract_x
_atom_site_fract_y
_atom_site_fract_z
Li1 Li 0.333 0.667 0.000
Li2 Li 0.667 0.333 0.000
Th1 Th 0.000 0.000 0.000
Mg1 Mg 0.000 0.500 0.000
Mg2 Mg 0.181 0.362 0.500
Mg3 Mg 0.181 0.819 0.500
Mg4 Mg 0.362 0.181 0.500
Mg5 Mg 0.500 0.000 0.000
Mg6 Mg 0.500 0.500 0.000
Mg7 Mg 0.638 0.819 0.500
Mg8 Mg 0.819 0.181 0.500
Mg9 Mg 0.819 0.638 0.500
```

What did the fourth record say?
ReRhO6 | PBE | relaxed

Computed properties:
The crystal system is monoclinic. Its total magnetization is 0.000 Bohr magnetons per cell. For the total energy, the calculation gives -7.01 eV/atom.

Cell and atoms, written as CIF:
```
data_ReRhO6
_chemical_formula_sum 'Re1 Rh1 O6'
_symmetry_space_group_name_H-M 'P 1'
_symmetry_Int_Tables_number 1
_symmetry_space_group_name_Hall 'P 1'
_cell_length_a 5.362
_cell_length_b 5.362
_cell_length_c 4.810
_cell_angle_alpha 96.00
_cell_angle_beta 96.00
_cell_angle_gamma 126.70
loop_
_atom_site_label
_atom_site_type_symbol
_atom_site_fract_x
_atom_site_fract_y
_atom_site_fract_z
Re1 Re 0.000 0.000 0.000
Rh1 Rh 0.500 0.500 0.500
O1 O 0.105 0.369 0.238
O2 O 0.249 0.249 0.751
O3 O 0.369 0.105 0.238
O4 O 0.631 0.895 0.762
O5 O 0.751 0.751 0.249
O6 O 0.895 0.631 0.762
```